[1]
{
  "formula": "ZrCdHg3",
  "functional": "GGA-PBE",
  "state": "optimized geometry",
  "de_polymorph_kj_per_mol_fu": 65,
  "dft_energy_ev_per_atom": -1.94,
  "cell": [[5.3028, 0.0000, 0.0000], [0.0000, 8.7737, 0.0000], [-2.6514, 0.0000, 5.6278]],
  "species": ["Hg", "Hg", "Zr", "Zr", "Hg", "Cd", "Cd", "Hg", "Hg", "Hg"],
  "fractional_positions": [[0.7821, 0.5704, 0.5642], [0.2179, 0.4296, 0.4358], [0.2821, 0.7500, 0.5643], [0.7179, 0.2500, 0.4357], [0.7821, 0.9296, 0.5642], [0.9949, 0.2500, 0.9899], [0.0051, 0.7500, 0.0101], [0.5499, 0.7500, 0.0998], [0.2179, 0.0704, 0.4358], [0.4501, 0.2500, 0.9002]]
}



[2]
{
  "formula": "ZrCd2Hg2",
  "functional": "GGA-PBE",
  "state": "optimized geometry",
  "de_polymorph_kj_per_mol_fu": 0,
  "dft_energy_ev_per_atom": -2.24,
  "cell": [[-0.0444, -2.8950, 1.5490], [-1.5234, -1.2758, -2.4280], [10.3252, -1.9813, -3.4070]],
  "species": ["Zr", "Cd", "Hg", "Hg", "Cd"],
  "fractional_positions": [[0.0000, 0.0000, 0.0000], [0.0000, 0.8058, 0.6147], [0.5000, 0.5959, 0.1901], [0.5000, 0.4041, 0.8099], [0.0000, 0.1942, 0.3853]]
}



[3]
{
  "formula": "Zr2Cd2Hg3",
  "functional": "GGA-PBE",
  "state": "optimized geometry",
  "dft_energy_ev_per_atom": -2.83,
  "cell": [[4.7196, 0.3178, -2.0374], [-2.2636, 3.7237, -0.0004], [-1.2023, -0.7274, 9.6713]],
  "species": ["Cd", "Hg", "Zr", "Hg", "Cd", "Hg", "Zr"],
  "fractional_positions": [[0.2815, 0.1408, 0.3909], [0.5334, 0.7666, 0.2611], [0.2334, 0.6167, 0.8686], [0.0000, 0.0000, 0.0000], [0.7185, 0.8592, 0.6091], [0.4666, 0.2334, 0.7389], [0.7666, 0.3833, 0.1314]]
}



[4]
{
  "formula": "Zr3Cd6Hg",
  "functional": "GGA-PBE",
  "state": "optimized geometry",
  "dft_energy_ev_per_atom": -3.21,
  "cell": [[4.7008, 0.0000, 0.0000], [0.0000, 9.1280, -4.7041], [0.0000, -2.6044, 11.6084]],
  "species": ["Cd", "Zr", "Cd", "Cd", "Hg", "Zr", "Cd", "Hg", "Cd", "Zr", "Zr", "Cd", "Cd", "Cd", "Cd", "Cd", "Cd", "Cd", "Zr", "Zr"],
  "fractional_positions": [[0.7500, 0.8900, 0.1265], [0.2500, 0.4963, 0.3169], [0.2500, 0.9118, 0.2817], [0.7500, 0.4930, 0.9307], [0.7500, 0.1217, 0.4811], [0.7500, 0.7130, 0.2894], [0.7500, 0.3017, 0.3201], [0.2500, 0.8783, 0.5189], [0.7500, 0.9062, 0.8846], [0.7500, 0.3184, 0.0765], [0.2500, 0.2870, 0.7106], [0.2500, 0.5070, 0.0693], [0.2500, 0.6983, 0.6799], [0.2500, 0.3131, 0.4685], [0.7500, 0.0882, 0.7183], [0.2500, 0.1100, 0.8735], [0.7500, 0.6869, 0.5315], [0.2500, 0.0938, 0.1154], [0.7500, 0.5037, 0.6831], [0.2500, 0.6816, 0.9235]]
}



[5]
{
  "formula": "Zr12CdHg3",
  "functional": "GGA-PBE",
  "state": "optimized geometry",
  "dft_energy_ev_per_atom": -6.64,
  "cell": [[4.4475, 0.0000, 0.0000], [0.0000, 4.4475, 0.0000], [0.0000, 0.0000, 17.8391]],
  "species": ["Zr", "Hg", "Hg", "Zr", "Zr", "Zr", "Zr", "Zr", "Zr", "Hg", "Zr", "Zr", "Zr", "Zr", "Zr", "Cd"],
  "fractional_positions": [[0.5000, 0.5000, 0.0000], [0.0000, 0.0000, 0.7496], [0.0000, 0.0000, 0.5000], [0.5000, 0.0000, 0.1253], [0.0000, 0.5000, 0.8747], [0.5000, 0.0000, 0.6249], [0.5000, 0.5000, 0.5000], [0.5000, 0.5000, 0.2506], [0.0000, 0.5000, 0.6249], [0.0000, 0.0000, 0.2504], [0.0000, 0.5000, 0.3751], [0.5000, 0.0000, 0.3751], [0.5000, 0.5000, 0.7494], [0.5000, 0.0000, 0.8747], [0.0000, 0.5000, 0.1253], [0.0000, 0.0000, 0.0000]]
}



[6]
{
  "formula": "Zr2CdHg2",
  "functional": "GGA-PBE",
  "state": "optimized geometry",
  "de_polymorph_kj_per_mol_fu": 189,
  "dft_energy_ev_per_atom": -3.43,
  "cell": [[4.1400, 0.0000, 0.0000], [0.0000, 4.1400, 0.0000], [2.0700, 2.0700, 7.2012]],
  "species": ["Zr", "Hg", "Cd", "Zr", "Hg"],
  "fractional_positions": [[0.5944, 0.5944, 0.8113], [0.2500, 0.7500, 0.5000], [0.0000, 0.0000, 0.0000], [0.4056, 0.4056, 0.1887], [0.7500, 0.2500, 0.5000]]
}



[7]
{
  "formula": "Zr3Cd2Hg",
  "functional": "GGA-PBE",
  "state": "optimized geometry",
  "dft_energy_ev_per_atom": -4.75,
  "cell": [[-0.2296, -2.7470, -1.5683], [3.1597, -0.1251, -0.2434], [0.6076, -6.4438, 11.1981]],
  "species": ["Zr", "Cd", "Zr", "Zr", "Hg", "Cd"],
  "fractional_positions": [[0.0000, 0.0000, 0.0000], [0.5000, 0.5000, 0.1676], [0.0000, 0.0000, 0.3353], [0.0000, 0.0000, 0.6647], [0.5000, 0.5000, 0.5000], [0.5000, 0.5000, 0.8324]]
}



[8]
{
  "formula": "ZrCdHg",
  "functional": "GGA-PBE",
  "state": "optimized geometry",
  "dft_energy_ev_per_atom": -3.33,
  "cell": [[-0.0494, -1.4616, 4.6228], [-3.6081, -1.2656, -2.9814], [1.5911, -2.6227, -0.8122]],
  "species": ["Hg", "Zr", "Cd"],
  "fractional_positions": [[0.3333, 0.6667, 0.1665], [0.6667, 0.3333, 0.6665], [0.0000, 0.0000, 0.1669]]
}



[9]
{
  "formula": "Zr5Cd4Hg",
  "functional": "GGA-PBE",
  "state": "optimized geometry",
  "dft_energy_ev_per_atom": -4.76,
  "cell": [[3.5286, 0.0000, 0.0000], [0.0000, 3.5286, 0.0000], [0.0000, 0.0000, 17.5540]],
  "species": ["Cd", "Zr", "Zr", "Hg", "Zr", "Zr", "Cd", "Cd", "Zr", "Cd"],
  "fractional_positions": [[0.0000, 0.0000, 0.4000], [0.5000, 0.5000, 0.0995], [0.5000, 0.5000, 0.9005], [0.0000, 0.0000, 0.0000], [0.5000, 0.5000, 0.2999], [0.5000, 0.5000, 0.5000], [0.0000, 0.0000, 0.7995], [0.0000, 0.0000, 0.6000], [0.5000, 0.5000, 0.7001], [0.0000, 0.0000, 0.2005]]
}



[10]
{
  "formula": "Zr5CdHg3",
  "functional": "GGA-PBE",
  "state": "optimized geometry",
  "dft_energy_ev_per_atom": -5.08,
  "cell": [[-0.2862, 1.6136, -5.7383], [-8.6858, -1.0910, 0.1265], [3.4640, 7.7838, 2.0160]],
  "species": ["Zr", "Zr", "Hg", "Hg", "Zr", "Hg", "Zr", "Zr", "Cd", "Hg", "Hg", "Zr", "Zr", "Zr", "Cd", "Zr", "Hg", "Zr"],
  "fractional_positions": [[0.7500, 0.0000, 0.3201], [0.2500, 0.6799, 0.0000], [0.7500, 0.0000, 0.6510], [0.2500, 0.6510, 0.6510], [0.2500, 0.0000, 0.6799], [0.7500, 0.3490, 0.3490], [0.7500, 0.6798, 0.6799], [0.5000, 0.6667, 0.3333], [0.5000, 0.0000, 0.0000], [0.7500, 0.6511, 0.0000], [0.2500, 0.3489, 0.0000], [0.0000, 0.3333, 0.6667], [0.7500, 0.3201, 0.0000], [0.2500, 0.3202, 0.3201], [0.0000, 0.0000, 0.0000], [0.0000, 0.6667, 0.3333], [0.2500, 0.0000, 0.3490], [0.5000, 0.3333, 0.6667]]
}



[11]
{
  "formula": "Zr2Cd3Hg3",
  "functional": "GGA-PBE",
  "state": "optimized geometry",
  "dft_energy_ev_per_atom": -2.70,
  "cell": [[-3.2429, -0.1477, -3.2567], [1.5189, -4.1123, -1.3260], [-5.1821, -3.6310, 5.3248]],
  "species": ["Zr", "Hg", "Cd", "Hg", "Cd", "Hg", "Cd", "Zr"],
  "fractional_positions": [[0.0000, 0.0000, 0.7477], [0.0000, 0.5000, 0.5000], [0.5000, 0.5000, 0.7526], [0.5000, 0.0000, 0.5000], [0.5000, 0.0000, 0.0000], [0.0000, 0.5000, 0.0000], [0.5000, 0.5000, 0.2474], [0.0000, 0.0000, 0.2523]]
}



[12]
{
  "formula": "Zr2CdHg2",
  "functional": "GGA-PBE",
  "state": "optimized geometry",
  "de_polymorph_kj_per_mol_fu": 31,
  "dft_energy_ev_per_atom": -3.76,
  "cell": [[-7.0653, -2.8756, -2.2744], [1.6523, -6.9055, 3.5979], [-1.4641, 1.2174, 3.0090]],
  "species": ["Hg", "Cd", "Zr", "Zr", "Cd", "Hg", "Zr", "Hg", "Zr", "Hg"],
  "fractional_positions": [[0.8699, 0.6301, 0.0000], [0.0000, 0.0000, 0.0000], [0.8297, 0.3297, 0.5000], [0.3297, 0.1703, 0.5000], [0.5000, 0.5000, 0.0000], [0.6301, 0.1301, 0.0000], [0.6703, 0.8297, 0.5000], [0.3699, 0.8699, 0.0000], [0.1703, 0.6703, 0.5000], [0.1301, 0.3699, 0.0000]]
}



Number 1: size of the total moment 0.00 μB per formula unit, formation energy from the elements 0.131 eV/atom. Number 2: size of the total moment 0.00 μB per formula unit, formation energy from the elements -0.046 eV/atom. Number 3: size of the total moment 0.00 μB per formula unit, formation energy from the elements -0.002 eV/atom. Number 4: size of the total moment 0.00 μB per formula unit, formation energy from the elements -0.071 eV/atom. Number 5: size of the total moment 0.00 μB per formula unit, formation energy from the elements -0.118 eV/atom. Number 6: size of the total moment 1.95 μB per formula unit, formation energy from the elements 0.294 eV/atom. Number 7: size of the total moment 0.56 μB per formula unit, formation energy from the elements -0.124 eV/atom. Number 8: size of the total moment 0.00 μB per formula unit, formation energy from the elements -0.074 eV/atom. Number 9: size of the total moment 0.00 μB per formula unit, formation energy from the elements -0.085 eV/atom. Number 10: size of the total moment 0.00 μB per formula unit, formation energy from the elements -0.126 eV/atom. Number 11: size of the total moment 0.00 μB per formula unit, formation energy from the elements -0.103 eV/atom. Number 12: size of the total moment 0.00 μB per formula unit, formation energy from the elements -0.034 eV/atom.